Model i:
Computed, not measured: a relaxed BP2SI crystal at the PBE-GGA level of DFT.

Computed properties:
Magnetization, μB per formula unit: 1.46

Unit cell a=5.225 b=5.225 c=5.098 alpha=90.00 beta=90.00 gamma=90.00
Space group P4/mmm (No. 123)
Asymmetric unit:
B: 0.000 0.000 0.000
P: 0.000 0.500 0.500
S: 0.500 0.500 0.000
I: 0.500 0.500 0.500

***

Model ii:
Computed, not measured: a relaxed BP2SI crystal at the PBE-GGA level of DFT.

Computed properties:
Magnetization, μB per formula unit: 0.00

Unit cell a=4.430 b=4.430 c=4.159 alpha=90.00 beta=90.00 gamma=90.00
Space group P4/mmm (No. 123)
Asymmetric unit:
B: 0.000 0.000 0.000
P: 0.000 0.500 0.000
S: 0.000 0.000 0.500
I: 0.500 0.500 0.500

***

Quick look at relative energies in meV per atom: model i 1292; model ii 0.

***

Model i:
Computed, not measured: a relaxed PaBI crystal at the PBE-GGA level of DFT.

Computed properties:
Magnetization, μB per formula unit: 0.51

Unit cell a=6.123 b=3.535 c=12.859 alpha=90.00 beta=99.28 gamma=90.00
Space group C2/m (No. 12)
Asymmetric unit:
Pa: 0.049 0.000 0.145
B: 0.167 0.500 0.000
I: 0.220 0.000 0.667

***

Model ii:
Computed, not measured: a relaxed PaBI crystal at the PBE-GGA level of DFT.

Computed properties:
Magnetization, μB per formula unit: 0.00

Unit cell a=12.229 b=12.659 c=7.193 alpha=90.00 beta=90.00 gamma=90.00
Space group Fdd2 (No. 43)
Asymmetric unit:
Pa: 0.089 0.251 0.000
B: 0.001 0.372 0.248
I: 0.104 0.395 0.647

***

Quick look at relative energies in meV per atom: model i 0; model ii 669.

***

Model i:
Computed, not measured: a relaxed BPb2I2 crystal at the PBE-GGA level of DFT.

Computed properties:
Magnetization, μB per formula unit: 0.00

Unit cell a=4.417 b=4.417 c=18.518 alpha=90.00 beta=90.00 gamma=90.00
Space group I4/mmm (No. 139)
Asymmetric unit:
B: 0.000 0.000 0.000
Pb: 0.000 0.500 0.250
I: 0.000 0.000 0.402

***

Model ii:
Computed, not measured: a relaxed BPb2I2 crystal at the PBE-GGA level of DFT.

Computed properties:
Magnetization, μB per formula unit: 0.00

Unit cell a=7.181 b=7.181 c=6.480 alpha=90.00 beta=90.00 gamma=90.00
Space group P4/mbm (No. 127)
Asymmetric unit:
B: 0.000 0.000 0.000
Pb: 0.242 0.258 0.500
I: 0.249 0.749 0.000

***

Quick look at relative energies in meV per atom: model i 172; model ii 0.

***

Model i:
Computed, not measured: a relaxed B2PbI crystal at the PBE-GGA level of DFT.

Computed properties:
Magnetization, μB per formula unit: 0.00

Unit cell a=5.528 b=5.528 c=11.761 alpha=90.00 beta=90.00 gamma=90.00
Space group I-42d (No. 122)
Asymmetric unit:
B: 0.233 0.250 0.125
Pb: 0.000 0.000 0.000
I: 0.000 0.000 0.500

***

Model ii:
Computed, not measured: a relaxed B2PbI crystal at the PBE-GGA level of DFT.

Computed properties:
Magnetization, μB per formula unit: 0.00

Unit cell a=6.793 b=6.793 c=6.793 alpha=90.00 beta=90.00 gamma=90.00
Space group Fm-3m (No. 225)
Asymmetric unit:
B: 0.250 0.250 0.250
Pb: 0.000 0.000 0.000
I: 0.000 0.000 0.500

***

Quick look at relative energies in meV per atom: model i 0; model ii 477.